Compound: RbTa3Sn
Source: the Alexandria database
Functional: PBE-GGA
Structure: relaxed

Properties
- Polymorph energy (0 for the lowest one): 0 meV per atom
- Crystal system: cubic
- D(E_F): 0.553 states/eV/cell

Cell: 5.2497 5.2497 5.2497 Å, 90.00 90.00 90.00°
Closest atoms and distances in Å follow each position.
Positions (direct):
Sn 0.0000 0.0000 0.0000  6 Ta 2.62
Rb 0.5000 0.5000 0.5000  12 Ta 3.71
Ta 0.0000 0.0000 0.5000  2 Sn 2.62
Ta 0.5000 0.0000 0.0000  2 Sn 2.62
Ta 0.0000 0.5000 0.0000  2 Sn 2.62